Material: ZrTeI2N
Method: DFT, GGA-PBE
State: relaxed

extended XYZ file:
```
5
Lattice="5.8541 0.0000 0.0000 0.0000 5.8541 0.0000 0.0000 0.0000 5.5589" Properties=species:S:1:pos:R:3 pbc="T T T"
I 2.9271 0.0000 0.0000
Zr 0.0000 0.0000 0.0000
Te 0.0000 0.0000 2.7794
N 2.9271 2.9271 2.7794
I 0.0000 2.9271 0.0000
```

- Crystal system: tetragonal
- E above lowest polymorph: 522.8 meV/atom
- Size of the total moment: 0.60 μB/atom
- Uncorrected formation energy: 54 kJ per mole of atoms
- Calculated density: 4.24 g/cm3